1.
Zr2CuSe: relaxed, PBEsol.

```
data_Zr2CuSe
_space_group_name_H-M_alt 'I -4 m 2'
_space_group_IT_number 119
_space_group_name_Hall 'I -4 -2'
_cell_length_a 3.8728
_cell_length_b 3.8728
_cell_length_c 9.4657
_cell_angle_alpha 90.00
_cell_angle_beta 90.00
_cell_angle_gamma 90.00
loop_
_atom_site_label
_atom_site_type_symbol
_atom_site_fract_x
_atom_site_fract_y
_atom_site_fract_z
Zr1 Zr 0.0000 0.0000 0.0000
Zr2 Zr 0.0000 0.5000 0.2500
Cu1 Cu 0.0000 0.0000 0.5000
Se1 Se 0.0000 0.5000 0.7500
```

Computed properties:
**Total moment**: 0.00 μB/f.u.
**Total DFT energy (no corrections)**: -6.957 eV/atom

2.
Zr2CuSe: relaxed, PBEsol.

```
data_Zr2CuSe
_space_group_name_H-M_alt 'P 4/m m m'
_space_group_IT_number 123
_space_group_name_Hall '-P 4 2'
_cell_length_a 4.6708
_cell_length_b 4.6708
_cell_length_c 3.1978
_cell_angle_alpha 90.00
_cell_angle_beta 90.00
_cell_angle_gamma 90.00
loop_
_atom_site_label
_atom_site_type_symbol
_atom_site_fract_x
_atom_site_fract_y
_atom_site_fract_z
Zr1 Zr 0.0000 0.5000 0.0000
Cu1 Cu 0.0000 0.0000 0.5000
Se1 Se 0.5000 0.5000 0.5000
```

Computed properties:
**Total moment**: 0.00 μB/f.u.
**Total DFT energy (no corrections)**: -7.121 eV/atom

3.
ZrCuSe3: relaxed, PBEsol.

```
data_ZrCuSe3
_space_group_name_H-M_alt 'P m -3 m'
_space_group_IT_number 221
_space_group_name_Hall '-P 4 2 3'
_cell_length_a 5.1275
_cell_length_b 5.1275
_cell_length_c 5.1275
_cell_angle_alpha 90.00
_cell_angle_beta 90.00
_cell_angle_gamma 90.00
loop_
_atom_site_label
_atom_site_type_symbol
_atom_site_fract_x
_atom_site_fract_y
_atom_site_fract_z
Zr1 Zr 0.0000 0.0000 0.0000
Cu1 Cu 0.5000 0.5000 0.5000
Se1 Se 0.0000 0.0000 0.5000
```

Computed properties:
**Total moment**: 0.00 μB/f.u.
**Total DFT energy (no corrections)**: -4.980 eV/atom

4.
Cu5Si: relaxed, PBEsol.

```
data_Cu5Si
_space_group_name_H-M_alt 'C 1 m 1'
_space_group_IT_number 8
_space_group_name_Hall 'C -2y'
_cell_length_a 9.2831
_cell_length_b 2.6066
_cell_length_c 5.9058
_cell_angle_alpha 90.00
_cell_angle_beta 105.83
_cell_angle_gamma 90.00
loop_
_atom_site_label
_atom_site_type_symbol
_atom_site_fract_x
_atom_site_fract_y
_atom_site_fract_z
Cu1 Cu 0.0000 0.0000 0.0000
Cu2 Cu 0.0459 0.0000 0.6024
Cu3 Cu 0.1646 0.5000 0.3324
Cu4 Cu 0.3258 0.0000 0.6718
Cu5 Cu 0.3806 0.0000 0.2653
Si1 Si 0.2137 0.5000 0.9358
```

Computed properties:
**Total moment**: 0.00 μB/f.u.
**ΔE to the lowest computed polymorph**: 0.803 kcal/mol of atoms

Please write out number 4 again, unchanged.
Cu5Si: relaxed, PBEsol.

```
data_Cu5Si
_space_group_name_H-M_alt 'C 1 m 1'
_space_group_IT_number 8
_space_group_name_Hall 'C -2y'
_cell_length_a 9.2831
_cell_length_b 2.6066
_cell_length_c 5.9058
_cell_angle_alpha 90.00
_cell_angle_beta 105.83
_cell_angle_gamma 90.00
loop_
_atom_site_label
_atom_site_type_symbol
_atom_site_fract_x
_atom_site_fract_y
_atom_site_fract_z
Cu1 Cu 0.0000 0.0000 0.0000
Cu2 Cu 0.0459 0.0000 0.6024
Cu3 Cu 0.1646 0.5000 0.3324
Cu4 Cu 0.3258 0.0000 0.6718
Cu5 Cu 0.3806 0.0000 0.2653
Si1 Si 0.2137 0.5000 0.9358
```

Computed properties:
**Total moment**: 0.00 μB/f.u.
**ΔE to the lowest computed polymorph**: 0.803 kcal/mol of atoms

Number 2 is which compound?
Zr2CuSe

Repeat the fourth record exactly.
Cu5Si: relaxed, PBEsol.

```
data_Cu5Si
_space_group_name_H-M_alt 'C 1 m 1'
_space_group_IT_number 8
_space_group_name_Hall 'C -2y'
_cell_length_a 9.2831
_cell_length_b 2.6066
_cell_length_c 5.9058
_cell_angle_alpha 90.00
_cell_angle_beta 105.83
_cell_angle_gamma 90.00
loop_
_atom_site_label
_atom_site_type_symbol
_atom_site_fract_x
_atom_site_fract_y
_atom_site_fract_z
Cu1 Cu 0.0000 0.0000 0.0000
Cu2 Cu 0.0459 0.0000 0.6024
Cu3 Cu 0.1646 0.5000 0.3324
Cu4 Cu 0.3258 0.0000 0.6718
Cu5 Cu 0.3806 0.0000 0.2653
Si1 Si 0.2137 0.5000 0.9358
```

Computed properties:
**Total moment**: 0.00 μB/f.u.
**ΔE to the lowest computed polymorph**: 0.803 kcal/mol of atoms